Sm2ErIn2 | Alexandria via LeMat-Bulk | GGA-PBE | optimized geometry; symmetry = No. 11; energy of formation = -373 meV per atom; D(E_F) = 4.07 states/eV/f.u.; mass density = 8.114 Mg/m³
1.0
-1.1131 1.0651 3.4476
-5.1155 -0.9089 -1.3708
1.7185 -13.8239 2.7525
In Sm Er
4 4 2
Cartesian
-0.4500 -9.7174 2.8562
-4.0601 -3.9502 1.9731
-2.7966 -12.5758 2.9769
-1.7135 -1.0918 1.8525
-3.2862 -6.9801 1.0938
-1.2239 -6.6875 3.7355
-0.7828 -11.7377 5.4377
-3.7273 -1.9299 -0.6084
-3.5784 -9.4781 3.8404
-0.9317 -4.1896 0.9890

SmEr4In | Alexandria via LeMat-Bulk | GGA-PBE | optimized geometry; symmetry = No. 123; energy of formation = -148 meV per atom; D(E_F) = 6.25 states/eV/f.u.; mass density = 8.667 Mg/m³
1.0
-1.0316 -1.9221 2.8087
2.8907 -2.0440 -0.3370
7.1488 8.6960 8.5765
Er In Sm
4 1 1
Cartesian
2.2058 -0.4306 2.7670
6.8021 5.1605 8.2812
2.5212 3.0669 3.0247
4.6276 5.6291 5.5518
4.5040 2.3650 5.5241
0.0000 0.0000 0.0000

Sm4Er3In4 | Alexandria via LeMat-Bulk | GGA-PBE | optimized geometry; symmetry = No. 71; energy of formation = -302 meV per atom; D(E_F) = 10.55 states/eV/f.u.; mass density = 7.957 Mg/m³
1.0
-3.4032 1.1819 0.0107
-0.0507 -0.2309 9.4005
4.8844 8.6138 -4.4653
Sm In Er
4 4 3
Cartesian
-0.7175 3.3664 6.4579
2.1480 6.1985 -1.5121
-0.6994 3.4486 3.1082
2.1299 6.1162 1.8376
1.7070 4.8715 4.8321
-1.7412 0.4105 7.3533
-0.2765 4.6934 0.1138
-1.7127 0.5405 2.0579
-0.0254 -0.1154 4.7002
0.5953 1.7138 0.0453
0.8351 7.8510 4.9005

Number 1: magnetic moment 0.00 μB/f.u.. Number 2: magnetic moment 0.00 μB/f.u.. Number 3: magnetic moment 0.00 μB/f.u..